Computed, not measured: ZnCrRu after structural relaxation at the PBE-GGA level of DFT.

It has space group F-43m (No. 216), with a = 5.805 Å, b = 5.805 Å, c = 5.805 Å, α = 90.00°, β = 90.00° and γ = 90.00°. Symmetry generates all atoms from Zn at (0.000, 0.000, 0.000), Cr at (0.000, 0.000, 0.500) and Ru at (0.250, 0.250, 0.250).

The calculation puts the calculated volume at 16.3 Å³/atom. For the energy relative to the elements, the calculation gives 0.47 eV per atom. For the raw total energy, the calculation gives -6.251 eV per atom. The calculation puts the distance to the lowest polymorph of the same formula at 464 meV per atom.